1.
{"formula": "KLa2Ni", "functional": "GGA-PBE", "state": "optimized geometry", "cell": [[-1.4578, -3.8307, -3.6061], [-3.7706, -3.7143, 1.3376], [-4.9409, 0.1700, -2.3155]], "species": ["K", "La", "La", "Ni"], "frac_coords": [[0.5000, 0.5000, 0.5000], [0.0000, 0.0000, 0.0000], [0.2500, 0.2500, 0.2500], [0.7500, 0.7500, 0.7500]], "dft_energy_ev_per_atom": -3.545, "ef_ev_per_fu": 2.55}

=====

2.
{"formula": "ZnGaCuOs", "functional": "GGA-PBE", "state": "optimized geometry", "cell": [[4.2749, 0.0000, 0.0000], [2.1374, 3.7021, 0.0000], [2.1374, 1.2340, 3.4904]], "species": ["Zn", "Os", "Cu", "Ga"], "frac_coords": [[0.5000, 0.5000, 0.5000], [0.7500, 0.7500, 0.7500], [0.2500, 0.2500, 0.2500], [0.0000, 0.0000, 0.0000]], "dft_energy_ev_per_atom": -4.799, "ef_ev_per_fu": 0.43}

=====

3.
{"formula": "ThAsIrN", "functional": "GGA-PBE", "state": "optimized geometry", "cell": [[-2.3911, 3.2102, -0.9822], [0.4034, -0.9223, -3.9967], [-6.8878, -4.9907, 0.4565]], "species": ["Th", "Th", "As", "As", "Ir", "Ir", "N", "N"], "frac_coords": [[0.0000, 0.5000, 0.8660], [0.5000, 0.0000, 0.1340], [0.5000, 0.0000, 0.6642], [0.0000, 0.5000, 0.3358], [0.0000, 0.0000, 0.5000], [0.5000, 0.5000, 0.5000], [0.5000, 0.5000, 0.0000], [0.0000, 0.0000, 0.0000]], "dft_energy_ev_per_atom": -8.463, "raw_formation_energy_kj_per_mol_atoms": -111}

=====

4.
{"formula": "Mg2AsH", "functional": "GGA-PBE", "state": "optimized geometry", "cell": [[4.0633, 0.2490, 0.0000], [0.2542, 4.7551, 0.0005], [-0.0008, 0.0003, 8.6993]], "species": ["Mg", "Mg", "Mg", "Mg", "As", "As", "H", "H"], "frac_coords": [[0.3284, 0.7405, 0.1427], [0.3263, 0.7695, 0.7389], [0.8263, 0.2695, 0.4771], [0.8284, 0.2406, 0.0732], [0.3300, 0.2400, 0.2780], [0.8299, 0.7401, 0.9380], [0.0819, 0.0540, 0.6239], [0.5820, 0.5537, 0.5922]], "dft_energy_ev_per_atom": -3.146}